# 1
# ZrCrFe2C, relaxed, DFT PBE
# E: -8.98 eV/atom
# Crystal system: tetragonal
data_ZrCrFe2C
_cell_length_a 3.859
_cell_length_b 3.859
_cell_length_c 3.959
_cell_angle_alpha 90.00
_cell_angle_beta 90.00
_cell_angle_gamma 90.00
_symmetry_space_group_name_H-M 'P 4/m m m'
_symmetry_Int_Tables_number 123
_symmetry_space_group_name_Hall '-P 4 2'
loop_
_atom_site_label
_atom_site_fract_x
_atom_site_fract_y
_atom_site_fract_z
Zr1 0.000 0.000 0.000
Cr1 0.500 0.500 0.000
Fe1 0.000 0.500 0.500
C1 0.500 0.500 0.500

# 2
# ZrCrFeC2, relaxed, DFT PBE
# E: -7.80 eV/atom
# Crystal system: tetragonal
data_ZrCrFeC2
_cell_length_a 3.794
_cell_length_b 3.794
_cell_length_c 4.315
_cell_angle_alpha 90.00
_cell_angle_beta 90.00
_cell_angle_gamma 90.00
_symmetry_space_group_name_H-M 'P 4/m m m'
_symmetry_Int_Tables_number 123
_symmetry_space_group_name_Hall '-P 4 2'
loop_
_atom_site_label
_atom_site_fract_x
_atom_site_fract_y
_atom_site_fract_z
Zr1 0.000 0.000 0.000
Cr1 0.500 0.500 0.000
Fe1 0.500 0.500 0.500
C1 0.000 0.500 0.500

> Which value of E does entry 2 give?

-7.80 eV/atom

> Look up the E of the second one.

-7.80 eV/atom

> Among the records above, which one has the lowest E?

ZrCrFe2C

Please write out number 2 again, unchanged.
# ZrCrFeC2, relaxed, DFT PBE
# E: -7.80 eV/atom
# Crystal system: tetragonal
data_ZrCrFeC2
_cell_length_a 3.794
_cell_length_b 3.794
_cell_length_c 4.315
_cell_angle_alpha 90.00
_cell_angle_beta 90.00
_cell_angle_gamma 90.00
_symmetry_space_group_name_H-M 'P 4/m m m'
_symmetry_Int_Tables_number 123
_symmetry_space_group_name_Hall '-P 4 2'
loop_
_atom_site_label
_atom_site_fract_x
_atom_site_fract_y
_atom_site_fract_z
Zr1 0.000 0.000 0.000
Cr1 0.500 0.500 0.000
Fe1 0.500 0.500 0.500
C1 0.000 0.500 0.500